# LiIn2Au6 | the Alexandria database | PBE | relaxed
# density of states at the Fermi level = 0.320 states/eV per atom
# ΔH_f (0 K) = -1.51 eV/f.u.
# magnetization = 0.00 Bohr magnetons per cell
# calculated volume = 19.22 A^3/atom
# energy above the most stable polymorph in this dataset = 0.0639 eV/atom
data_LiIn2Au6
_space_group_name_H-M_alt 'C 1 2/m 1'
_space_group_IT_number 12
_space_group_name_Hall '-C 2y'
_cell_length_a 14.650
_cell_length_b 7.713
_cell_length_c 3.062
_cell_angle_alpha 90.00
_cell_angle_beta 90.72
_cell_angle_gamma 90.00
loop_
_atom_site_label
_atom_site_fract_x
_atom_site_fract_y
_atom_site_fract_z
Li1 0.000 0.000 0.000
In1 0.189 0.500 0.504
Au1 0.000 0.305 0.500
Au2 0.155 0.184 0.002

# Li2In5Au12 | the Alexandria database | PBE | relaxed
# density of states at the Fermi level = 0.245 states/eV per atom
# ΔH_f (0 K) = -3.88 eV/f.u.
# magnetization = 0.00 Bohr magnetons per cell
# calculated volume = 19.76 A^3/atom
data_Li2In5Au12
_space_group_name_H-M_alt 'C 1 2/m 1'
_space_group_IT_number 12
_space_group_name_Hall '-C 2y'
_cell_length_a 12.056
_cell_length_b 8.689
_cell_length_c 7.499
_cell_angle_alpha 90.00
_cell_angle_beta 107.13
_cell_angle_gamma 90.00
loop_
_atom_site_label
_atom_site_fract_x
_atom_site_fract_y
_atom_site_fract_z
Li1 0.000 0.240 0.000
In1 0.000 0.500 0.500
In2 0.181 0.000 0.587
In3 0.193 0.000 0.099
Au1 0.002 0.000 0.764
Au2 0.125 0.500 0.063
Au3 0.132 0.278 0.769
Au4 0.138 0.276 0.353